## AlCuReW (PBE-GGA)

Data for crystalline AlCuReW at its relaxed geometry.

Unit cell a=6.1331 b=6.1331 c=6.1331 alpha=90.00 beta=90.00 gamma=90.00
Closest atoms and distances in Å follow each position.
Space group F-43m (No. 216)
Unique sites:
Al 0.0000 0.0000 0.0000 (multiplicity 4)  4 Re 2.66, 4 Cu 2.66
Cu 0.2500 0.2500 0.2500 (multiplicity 4)  4 Al 2.66, 4 W 2.66
Re 0.2500 0.2500 0.7500 (multiplicity 4)  4 W 2.66, 4 Al 2.66
W 0.0000 0.0000 0.5000 (multiplicity 4)  4 Cu 2.66, 4 Re 2.66

Calculated values
**M_tot**: 0.00 μB/f.u.
**Raw total energy**: -8.190 eV per atom
**Relative energy among the computed polymorphs**: 0.0 meV/atom